Arrangement a

The following is a PBE calculation of a geometry-optimized AcUS4 structure, from the Alexandria database.

a b c (Å): 9.1378 9.3045 4.2753
angles (deg): 90.00 90.00 90.00
Space group Cmmm (No. 65)
Asymmetric unit:
Ac  0.0000  0.0000  0.0000 (multiplicity 2)
U  0.0000  0.5000  0.5000 (multiplicity 2)
S  0.0000  0.3254  0.0000 (multiplicity 4)
S  0.2180  0.0000  0.5000 (multiplicity 4)

**Mass density**: 5421 kg/m³


Arrangement b

The following is a PBE calculation of a geometry-optimized AcUS4 structure, from the Alexandria database.

a b c (Å): 14.4887 6.7682 6.9595
angles (deg): 90.00 110.18 90.00
Space group C2/c (No. 15)
Asymmetric unit:
Ac  0.0000  0.2164  0.2500 (multiplicity 4)
U  0.2500  0.2500  0.0000 (multiplicity 4)
S  0.1026  0.4363  0.9933 (multiplicity 8)
S  0.1541  0.0406  0.6480 (multiplicity 8)

**Mass density**: 6152 kg/m³


Most stable structure - arrangement b; separation to the second - 4.8 kJ/mol of atoms.